First-principles (GGA-PBE) data for a relaxed structure of ZrFeCoBi, as listed in OQMD via LeMat-Bulk.

Lattice parameters (Å, degrees): 4.4996 4.4996 4.4996 60.00 60.00 60.00
With the nearest neighbours (Å) after each atom.
Fractional coordinates of all 4 atoms:
1 Zr 0.0000 0.0000 0.0000  4 Co 2.76, 4 Fe 2.76
2 Fe 0.2500 0.2500 0.2500  4 Bi 2.76, 4 Zr 2.76
3 Co 0.7500 0.7500 0.7500  4 Bi 2.76, 4 Zr 2.76
4 Bi 0.5000 0.5000 0.5000  4 Co 2.76, 4 Fe 2.76

Summary:
Energy, Ry per atom: -0.51284
Volume, Å³ per cell: 64.42
Crystal system: cubic
Symmetry: F-43m (216)
Spin magnetization, μB per cell: 2.00

---

First-principles (GGA-PBE) data for a relaxed structure of Er2ZnTe2S2O14, as listed in OQMD via LeMat-Bulk.

Lattice parameters (Å, degrees): 5.2009 7.7064 7.9769 63.58 73.42 85.19
With the nearest neighbours (Å) after each atom.
Fractional coordinates of all 21 atoms:
1 Er 0.0720 0.2533 0.0161  6 O 2.20-2.42
2 Er 0.9280 0.7467 0.9839  6 O 2.20-2.42
3 Zn 0.0000 0.0000 0.5000  6 O 2.03-2.13
4 Te 0.4929 0.7295 0.6547  3 O 1.90-1.93
5 Te 0.5071 0.2705 0.3453  3 O 1.90-1.93
6 S 0.2493 0.7483 0.2529  4 O 1.48-1.50
7 S 0.7507 0.2517 0.7471  4 O 1.48-1.50
8 O 0.1208 0.5825 0.2548  1 S 1.48
9 O 0.1386 0.7609 0.4392  1 S 1.48
10 O 0.1838 0.9228 0.0876  1 S 1.50
11 O 0.2467 0.5610 0.8923  1 Te 1.90
12 O 0.2598 0.9353 0.6650  1 Te 1.93, 1 Zn 2.03
13 O 0.2741 0.1954 0.2419  1 Te 1.90, 1 Zn 2.11
14 O 0.4576 0.2722 0.7788  1 S 1.48
15 O 0.5424 0.7278 0.2212  1 S 1.48
16 O 0.7259 0.8046 0.7581  1 Te 1.90, 1 Zn 2.11
17 O 0.7402 0.0647 0.3350  1 Te 1.93, 1 Zn 2.03
18 O 0.7533 0.4390 0.1077  1 Te 1.90
19 O 0.8162 0.0772 0.9124  1 S 1.50
20 O 0.8614 0.2391 0.5608  1 S 1.48
21 O 0.8792 0.4175 0.7452  1 S 1.48

Summary:
Energy, Ry per atom: -0.46985
Volume, Å³ per cell: 274.07
Crystal system: triclinic
Symmetry: P-1 (2)
Spin magnetization, μB per cell: 0.01

---

First-principles (GGA-PBE) data for a relaxed structure of SrCdGa2Ag, as listed in OQMD via LeMat-Bulk.

Lattice parameters (Å, degrees): 6.4656 6.4656 6.4656 138.97 138.97 59.42
With the nearest neighbours (Å) after each atom.
Fractional coordinates of all 5 atoms:
1 Sr 0.0000 0.0000 0.0000  8 Ga 3.45, 4 Cd 3.61, 4 Ag 3.61
2 Cd 0.7500 0.2500 0.5000  4 Ga 2.74
3 Ga 0.3872 0.3872 0.0000  1 Ga 2.53, 2 Cd 2.74, 2 Ag 2.74
4 Ga 0.6128 0.6128 0.0000  1 Ga 2.53, 2 Cd 2.74, 2 Ag 2.74
5 Ag 0.2500 0.7500 0.5000  4 Ga 2.74

Summary:
Energy, Ry per atom: -0.19293
Volume, Å³ per cell: 115.32
Crystal system: tetragonal
Symmetry: I-4m2 (119)

---

First-principles (GGA-PBE) data for a relaxed structure of Pr2DyIn3AgPd2, as listed in OQMD via LeMat-Bulk.

Lattice parameters (Å, degrees): 3.9303 7.9054 7.9054 119.81 90.00 90.00
With the nearest neighbours (Å) after each atom.
Fractional coordinates of all 9 atoms:
1 Pr 0.0000 0.2049 0.7951  4 Pd 3.12, 1 Ag 3.25, 6 In 3.25-3.49
2 Pr 0.0000 0.7951 0.2049  4 Pd 3.12, 1 Ag 3.25, 6 In 3.25-3.49
3 Dy 0.0000 0.3857 0.3857  4 Pd 3.05, 2 In 3.22, 1 Ag 3.23
4 In 0.5000 0.0638 0.0638  2 Pd 2.89, 2 Ag 2.91, 2 Dy 3.22
5 In 0.5000 0.5298 0.7904  2 Ag 2.85, 2 Pd 2.91-3.03
6 In 0.5000 0.7904 0.5298  2 Ag 2.85, 2 Pd 2.91-3.03
7 Ag 0.0000 0.7927 0.7927  6 In 2.85-2.91
8 Pd 0.5000 0.1341 0.4597  3 In 2.89-3.03, 2 Dy 3.05, 4 Pr 3.12
9 Pd 0.5000 0.4597 0.1341  3 In 2.89-3.03, 2 Dy 3.05, 4 Pr 3.12

Summary:
Energy, Ry per atom: -0.33942
Volume, Å³ per cell: 213.13
Crystal system: orthorhombic
Symmetry: Amm2 (38)
Spin magnetization, μB per cell: 0.00

---

First-principles (GGA-PBE) data for a relaxed structure of PaCoHg, as listed in OQMD via LeMat-Bulk.

Lattice parameters (Å, degrees): 4.6888 4.6888 4.6888 60.00 60.00 60.00
With the nearest neighbours (Å) after each atom.
Fractional coordinates of all 3 atoms:
1 Pa 0.0000 0.0000 0.0000  4 Hg 2.87, 4 Co 2.87
2 Co 0.7500 0.7500 0.7500  4 Pa 2.87
3 Hg 0.2500 0.2500 0.2500  4 Pa 2.87

Summary:
Formation energy, meV per atom: 746
Energy, Ry per atom: -0.35923
Volume, Å³ per cell: 72.89
Crystal system: cubic
Symmetry: F-43m (216)
Spin magnetization, μB per cell: 0.02

---

First-principles (GGA-PBE) data for a relaxed structure of SrUTe, as listed in OQMD via LeMat-Bulk.

Lattice parameters (Å, degrees): 5.3568 5.3568 5.3568 60.00 60.00 60.00
With the nearest neighbours (Å) after each atom.
Fractional coordinates of all 3 atoms:
1 Sr 0.0000 0.0000 0.0000  4 Te 3.28
2 U 0.5000 0.5000 0.5000  4 Te 3.28
3 Te 0.2500 0.2500 0.2500  4 U 3.28, 4 Sr 3.28

Summary:
Energy, Ry per atom: -0.38157
Volume, Å³ per cell: 108.69
Crystal system: cubic
Symmetry: F-43m (216)
Spin magnetization, μB per cell: 5.12

---

First-principles (GGA-PBE) data for a relaxed structure of Er2Sc2Co, as listed in OQMD via LeMat-Bulk.

Lattice parameters (Å, degrees): 6.0285 6.0285 10.2708 114.98 114.98 45.11
With the nearest neighbours (Å) after each atom.
Fractional coordinates of all 10 atoms:
1 Er 0.1445 0.1445 0.4879  3 Co 2.70-2.94, 1 Sc 2.97
2 Er 0.3255 0.3255 0.9277  1 Co 2.77
3 Er 0.6745 0.6745 0.0723  1 Co 2.77
4 Er 0.8555 0.8555 0.5121  3 Co 2.70-2.94, 1 Sc 2.97
5 Sc 0.0174 0.0174 0.1629  2 Co 2.62
6 Sc 0.3829 0.3829 0.3019  1 Co 2.44
7 Sc 0.6171 0.6171 0.6981  1 Co 2.44
8 Sc 0.9826 0.9826 0.8371  2 Co 2.62
9 Co 0.4007 0.4007 0.7053  3 Sc 2.44-2.62, 1 Er 2.70
10 Co 0.5993 0.5993 0.2947  3 Sc 2.44-2.62, 1 Er 2.70

Summary:
Formation energy, meV per atom: -60
Energy, Ry per atom: -0.42906
Volume, Å³ per cell: 235.20
Crystal system: monoclinic
Symmetry: C2/m (12)
Spin magnetization, μB per cell: 0.05

---

First-principles (GGA-PBE) data for a relaxed structure of FeI4, as listed in OQMD via LeMat-Bulk.

Lattice parameters (Å, degrees): 6.8454 7.9194 6.6984 90.00 107.62 90.00
With the nearest neighbours (Å) after each atom.
Fractional coordinates of all 10 atoms:
1 Fe 0.0000 0.1358 0.2500  6 I 2.57-2.69
2 Fe 0.0000 0.8642 0.7500  6 I 2.57-2.69
3 I 0.2188 0.1104 0.9941  2 Fe 2.60-2.69
4 I 0.2188 0.8896 0.4941  2 Fe 2.60-2.69
5 I 0.2516 0.3590 0.4593  1 Fe 2.57
6 I 0.2516 0.6410 0.9593  1 Fe 2.57
7 I 0.7484 0.3590 0.0407  1 Fe 2.57
8 I 0.7484 0.6410 0.5407  1 Fe 2.57
9 I 0.7812 0.1104 0.5059  2 Fe 2.60-2.69
10 I 0.7812 0.8896 0.0059  2 Fe 2.60-2.69

Summary:
Energy, Ry per atom: -0.21327
Volume, Å³ per cell: 346.09
Crystal system: monoclinic
Symmetry: P2/c (13)
Spin magnetization, μB per cell: 4.00

---

Which of these has the highest volume? FeI4

---

Among the records above, which one has the lowest energy? ZrFeCoBi

---

Among the records above, which one has the lowest energy? ZrFeCoBi